1.
Here is a relaxed SmH7Pd5 crystal from Alexandria. Energies are from PBE.

## Properties
Total DFT energy (no corrections) (eV per atom): -4.4415

a b c (Å): 5.634 5.666 7.982
angles (deg): 90.35 46.37 59.48
Positions (direct):
Sm: 0.591 0.243 0.282
H: 0.971 0.299 0.356
H: 0.215 0.672 0.715
H: 0.123 0.140 0.622
H: 0.982 0.826 0.334
H: 0.115 0.471 0.106
H: 0.634 0.818 0.100
H: 0.370 0.977 0.826
Pd: 0.593 0.732 0.517
Pd: 0.094 0.005 0.433
Pd: 0.496 0.509 0.972
Pd: 0.146 0.391 0.869
Pd: 0.671 0.916 0.869

=====

2.
Here is a relaxed MgAlCd crystal from Alexandria. Energies are from PBE.

## Properties
Total DFT energy (no corrections) (eV per atom): -1.9750
ΔE to the lowest computed polymorph (eV/f.u.): 0.347

a b c (Å): 4.597 4.597 4.597
angles (deg): 60.00 60.00 60.00
Positions (direct):
Al: 0.500 0.500 0.500
Cd: 0.750 0.750 0.750
Mg: 0.000 0.000 0.000

=====

3.
Here is a relaxed Li2PuCdO6 crystal from Alexandria. Energies are from PBE.

## Properties
Formation energy (no corrections) (meV/atom): -1818
Total DFT energy (no corrections) (eV per atom): -6.7001

a b c (Å): 5.553 5.521 7.924
angles (deg): 90.00 90.67 90.00
Positions (direct):
Li: 0.967 0.975 0.267
Li: 0.467 0.525 0.767
Li: 0.033 0.025 0.733
Li: 0.533 0.475 0.233
Pu: 0.500 0.000 0.500
Pu: 0.000 0.500 0.000
Cd: 0.500 0.000 0.000
Cd: 0.000 0.500 0.500
O: 0.316 0.645 0.055
O: 0.816 0.855 0.555
O: 0.684 0.355 0.945
O: 0.184 0.145 0.445
O: 0.375 0.696 0.417
O: 0.875 0.804 0.917
O: 0.625 0.304 0.583
O: 0.125 0.196 0.083
O: 0.878 0.599 0.232
O: 0.378 0.901 0.732
O: 0.122 0.401 0.768
O: 0.622 0.099 0.268

=====

4.
Here is a relaxed AsPN crystal from Alexandria. Energies are from PBE.

## Properties
Formation energy (no corrections) (meV/atom): 434
Total DFT energy (no corrections) (eV per atom): -5.6944

a b c (Å): 2.880 5.420 7.912
angles (deg): 110.03 111.41 90.00
Positions (direct):
P: 0.557 0.154 0.308
P: 0.443 0.846 0.692
N: 0.804 0.277 0.553
N: 0.196 0.723 0.447
As: 0.486 0.368 0.735
As: 0.514 0.632 0.265

=====

5.
Here is a relaxed SrHfHS2 crystal from Alexandria. Energies are from PBE.

## Properties
Total DFT energy (no corrections) (eV per atom): -6.0091

a b c (Å): 5.011 5.011 3.909
angles (deg): 90.00 90.00 90.00
Positions (direct):
Sr: 0.500 0.500 0.500
S: 0.000 0.500 0.000
S: 0.500 0.000 0.000
Hf: 0.000 0.000 0.000
H: 0.000 0.000 0.500

=====

6.
Here is a relaxed Ga2OsPtW crystal from Alexandria. Energies are from PBE.

## Properties
Total DFT energy (no corrections) (eV per atom): -5.5446

a b c (Å): 4.799 4.818 4.799
angles (deg): 90.00 90.00 90.00
Positions (direct):
Ga: 0.000 0.000 0.500
Ga: 0.500 0.000 0.000
Os: 0.500 0.500 0.500
W: 0.000 0.000 0.000
Pt: 0.000 0.500 0.000

=====

7.
Here is a relaxed PmYZnPt crystal from Alexandria. Energies are from PBE.

## Properties
Total DFT energy (no corrections) (eV per atom): -5.3671
ΔE to the lowest computed polymorph (eV/f.u.): 0.166

a b c (Å): 5.059 5.059 5.059
angles (deg): 60.00 60.00 60.00
Positions (direct):
Y: 0.500 0.500 0.500
Zn: 0.250 0.250 0.250
Pt: 0.750 0.750 0.750
Pm: 0.000 0.000 0.000

=====

8.
Here is a relaxed Cu3BPb crystal from Alexandria. Energies are from PBE.

## Properties
Total DFT energy (no corrections) (eV per atom): -4.2503
ΔE to the lowest computed polymorph (eV/f.u.): 0.000

a b c (Å): 4.179 4.179 4.179
angles (deg): 90.00 90.00 90.00
Positions (direct):
Pb: 0.500 0.500 0.500
B: 0.000 0.000 0.000
Cu: 0.000 0.500 0.000
Cu: 0.000 0.000 0.500
Cu: 0.500 0.000 0.000

=====

9.
Here is a relaxed Dy12Pd6Pt crystal from Alexandria. Energies are from PBE.

## Properties
Total DFT energy (no corrections) (eV per atom): -5.4563

a b c (Å): 8.262 8.262 8.262
angles (deg): 99.70 99.70 99.70
Positions (direct):
Dy: 0.821 0.584 0.427
Dy: 0.427 0.821 0.584
Dy: 0.584 0.427 0.821
Dy: 0.179 0.416 0.573
Dy: 0.573 0.179 0.416
Dy: 0.416 0.573 0.179
Dy: 0.080 0.952 0.324
Dy: 0.048 0.676 0.920
Dy: 0.676 0.920 0.048
Dy: 0.920 0.048 0.676
Dy: 0.952 0.324 0.080
Dy: 0.324 0.080 0.952
Pd: 0.686 0.866 0.380
Pd: 0.620 0.314 0.134
Pd: 0.134 0.620 0.314
Pd: 0.314 0.134 0.620
Pd: 0.380 0.686 0.866
Pd: 0.866 0.380 0.686
Pt: 0.000 0.000 0.000

=====

10.
Here is a relaxed BaScIn2 crystal from Alexandria. Energies are from PBE.

## Properties
Total DFT energy (no corrections) (eV per atom): -3.5118

a b c (Å): 3.676 4.638 7.448
angles (deg): 90.00 90.00 90.00
Positions (direct):
Ba: 0.500 0.500 0.760
In: 0.000 0.000 0.033
In: 0.500 0.500 0.285
Sc: 0.000 0.000 0.422

=====

11.
Here is a relaxed ReRh2W crystal from Alexandria. Energies are from PBE.

## Properties
Total DFT energy (no corrections) (eV per atom): -10.0586
ΔE to the lowest computed polymorph (eV/f.u.): 0.668

a b c (Å): 4.801 4.801 4.740
angles (deg): 80.20 80.20 33.50
Positions (direct):
Re: 0.500 0.500 0.000
Rh: 0.249 0.249 0.753
Rh: 0.751 0.751 0.247
W: 0.000 0.000 0.500

=====

12.
Here is a relaxed Re2PtBr crystal from Alexandria. Energies are from PBE.

## Properties
Formation energy (no corrections) (meV/atom): 665
Total DFT energy (no corrections) (eV per atom): -7.4874
ΔE to the lowest computed polymorph (eV/f.u.): 1.134

a b c (Å): 2.792 2.792 10.254
angles (deg): 90.00 90.00 118.03
Positions (direct):
Re: 0.000 0.000 0.015
Re: 0.500 0.500 0.222
Br: 0.000 0.000 0.480
Pt: 0.500 0.500 0.784

=====

13.
Here is a relaxed YAg2Ir crystal from Alexandria. Energies are from PBE.

## Properties
Total DFT energy (no corrections) (eV per atom): -4.8403
ΔE to the lowest computed polymorph (eV/f.u.): 2.812

a b c (Å): 10.105 10.105 10.105
angles (deg): 16.93 16.93 16.93
Positions (direct):
Ag: 0.994 0.994 0.994
Ag: 0.506 0.506 0.506
Ir: 0.250 0.250 0.250
Y: 0.750 0.750 0.750

=====

14.
Here is a relaxed Tb5CeEr2Tm crystal from Alexandria. Energies are from PBE.

## Properties
Total DFT energy (no corrections) (eV per atom): -4.5691

a b c (Å): 5.576 10.538 10.204
angles (deg): 90.00 90.00 105.34
Positions (direct):
Tb: 0.388 0.775 0.029
Tb: 0.726 0.453 0.816
Tb: 0.478 0.956 0.742
Tb: 0.299 0.597 0.704
Tb: 0.985 0.970 0.518
Tb: 0.612 0.225 0.529
Tb: 0.274 0.547 0.316
Tb: 0.522 0.044 0.242
Tb: 0.701 0.403 0.204
Tb: 0.015 0.030 0.018
Ce: 0.803 0.605 0.517
Ce: 0.197 0.395 0.017
Er: 0.887 0.774 0.816
Er: 0.115 0.230 0.732
Er: 0.113 0.226 0.316
Er: 0.885 0.770 0.232
Tm: 0.593 0.186 0.950
Tm: 0.407 0.814 0.450

=====

15.
Here is a relaxed Pr4S3O4 crystal from Alexandria. Energies are from PBE.

## Properties
Formation energy (no corrections) (meV/atom): -2401
Total DFT energy (no corrections) (eV per atom): -7.0679

a b c (Å): 4.083 7.499 7.798
angles (deg): 118.74 105.18 90.00
Positions (direct):
Pr: 0.225 0.725 0.450
Pr: 0.775 0.275 0.550
Pr: 0.500 0.752 0.000
Pr: 0.500 0.248 0.000
S: 0.083 0.083 0.166
S: 0.917 0.917 0.834
S: 0.000 0.500 0.000
O: 0.325 0.135 0.649
O: 0.675 0.486 0.351
O: 0.675 0.865 0.351
O: 0.325 0.514 0.649

=====

16.
Here is a relaxed SiAg3Pb crystal from Alexandria. Energies are from PBE.

## Properties
Formation energy (no corrections) (meV/atom): 1094
Total DFT energy (no corrections) (eV per atom): -2.4434
ΔE to the lowest computed polymorph (eV/f.u.): 4.010

a b c (Å): 5.283 5.283 5.283
angles (deg): 90.00 90.00 90.00
Positions (direct):
Pb: 0.000 0.000 0.000
Si: 0.500 0.500 0.500
Ag: 0.000 0.500 0.000
Ag: 0.000 0.000 0.500
Ag: 0.500 0.000 0.000

=====

17.
Here is a relaxed CdSbIr2 crystal from Alexandria. Energies are from PBE.

## Properties
Formation energy (no corrections) (meV/atom): 241
Total DFT energy (no corrections) (eV per atom): -5.4487
ΔE to the lowest computed polymorph (eV/f.u.): 0.324

a b c (Å): 3.029 3.029 8.380
angles (deg): 90.00 90.00 90.00
Positions (direct):
Sb: 0.000 0.000 0.446
Ir: 0.000 0.000 0.022
Ir: 0.500 0.500 0.233
Cd: 0.500 0.500 0.799

=====

18.
Here is a relaxed BaTbTl4 crystal from Alexandria. Energies are from PBE.

## Properties
Total DFT energy (no corrections) (eV per atom): -2.7232
ΔE to the lowest computed polymorph (eV/f.u.): 0.475

a b c (Å): 5.169 5.169 8.520
angles (deg): 90.00 90.00 90.00
Positions (direct):
Ba: 0.000 0.000 0.000
Tb: 0.500 0.500 0.500
Tl: 0.500 0.000 0.705
Tl: 0.000 0.500 0.705
Tl: 0.500 0.000 0.295
Tl: 0.000 0.500 0.295

=====

19.
Here is a relaxed NiAsRh crystal from Alexandria. Energies are from PBE.

## Properties
Total DFT energy (no corrections) (eV per atom): -5.8957

a b c (Å): 4.007 4.007 4.007
angles (deg): 60.00 60.00 60.00
Positions (direct):
As: 0.500 0.500 0.500
Ni: 0.750 0.750 0.750
Rh: 0.000 0.000 0.000

=====

20.
Here is a relaxed YRe2Tc crystal from Alexandria. Energies are from PBE.

## Properties
Total DFT energy (no corrections) (eV per atom): -10.1321
ΔE to the lowest computed polymorph (eV/f.u.): 0.398

a b c (Å): 2.913 2.913 8.214
angles (deg): 90.00 90.00 90.04
Positions (direct):
Re: 0.000 0.000 0.038
Re: 0.000 0.000 0.462
Tc: 0.500 0.500 0.250
Y: 0.500 0.500 0.750

=====

21.
Here is a relaxed Ce3Nd4TmTe8 crystal from Alexandria. Energies are from PBE.

## Properties
Formation energy (no corrections) (meV/atom): -1374
Total DFT energy (no corrections) (eV per atom): -5.5287

a b c (Å): 8.932 8.955 8.931
angles (deg): 119.91 120.00 90.00
Positions (direct):
Ce: 0.500 0.500 0.000
Ce: 0.500 0.500 0.500
Ce: 0.000 0.500 0.500
Nd: 0.500 0.000 0.000
Nd: 0.500 0.000 0.500
Nd: 0.000 0.000 0.000
Nd: 0.000 0.000 0.500
Tm: 0.000 0.500 0.000
Te: 0.244 0.743 0.999
Te: 0.244 0.743 0.488
Te: 0.250 0.251 0.501
Te: 0.755 0.743 0.999
Te: 0.245 0.257 0.001
Te: 0.750 0.749 0.499
Te: 0.756 0.257 0.512
Te: 0.756 0.257 0.001

=====

22.
Here is a relaxed TiCdHg crystal from Alexandria. Energies are from PBE.

## Properties
Total DFT energy (no corrections) (eV per atom): -3.0213

a b c (Å): 3.165 4.835 8.025
angles (deg): 90.00 101.37 90.00
Positions (direct):
Ti: 0.446 0.250 0.893
Ti: 0.554 0.750 0.107
Cd: 0.782 0.250 0.563
Cd: 0.218 0.750 0.437
Hg: 0.898 0.750 0.796
Hg: 0.102 0.250 0.204

=====

23.
Here is a relaxed Na2NdTh2Te6 crystal from Alexandria. Energies are from PBE.

## Properties
Formation energy (no corrections) (meV/atom): -1203
Total DFT energy (no corrections) (eV per atom): -4.9387

a b c (Å): 7.756 7.756 8.083
angles (deg): 99.11 99.11 120.19
Positions (direct):
Na: 0.835 0.165 0.000
Na: 0.165 0.835 0.000
Nd: 0.000 0.000 0.500
Th: 0.333 0.667 0.500
Th: 0.667 0.333 0.500
Te: 0.740 0.740 0.741
Te: 0.081 0.417 0.741
Te: 0.260 0.260 0.259
Te: 0.417 0.081 0.741
Te: 0.919 0.583 0.259
Te: 0.583 0.919 0.259

=====

24.
Here is a relaxed CdInB crystal from Alexandria. Energies are from PBE.

## Properties
Total DFT energy (no corrections) (eV per atom): -2.9639

a b c (Å): 6.523 5.679 3.883
angles (deg): 94.59 72.21 118.53
Positions (direct):
B: 0.302 0.475 0.634
B: 0.388 0.788 0.625
In: 0.065 0.454 0.259
In: 0.159 0.021 0.713
Cd: 0.741 0.685 0.375
Cd: 0.622 0.081 0.017